1.
First-principles (PBE) data for crystalline AcDy6Tm2 at its relaxed geometry, as listed in Alexandria via LeMat-Bulk.

Cell lengths 3.609, 3.609, 26.318 Å; angles 90.00, 90.00, 120.00 degrees
Last column: magnetic moment on the atom in μB.
Fractional positions:
Tm 0.667 0.333 0.668  0.14
Tm 0.667 0.333 0.332  0.14
Dy 0.333 0.667 0.435  0.19
Dy 0.667 0.333 0.881  0.04
Dy 0.667 0.333 0.119  0.04
Dy 0.333 0.667 0.565  0.19
Dy 0.333 0.667 0.775  0.06
Dy 0.333 0.667 0.225  0.06
Ac 0.333 0.667 0.000  -0.01

Formation energy from the elements: 0.08 eV/atom
Mass density: 8.61 g/cm3
V: 32.99 Å³/atom
Final energy: -0.3264 Ry per atom



2.
First-principles (PBE) data for crystalline AcDy4Tm6 at its relaxed geometry, as listed in Alexandria via LeMat-Bulk.

Cell lengths 5.676, 5.649, 25.456 Å; angles 90.00, 90.00, 120.16 degrees
Fractional positions:
Dy 0.835 0.670 0.541
Dy 0.494 0.989 0.378
Dy 0.506 0.011 0.878
Dy 0.165 0.330 0.459
Dy 0.506 0.011 0.622
Dy 0.835 0.670 0.959
Dy 0.165 0.330 0.041
Dy 0.494 0.989 0.122
Tm 0.838 0.676 0.679
Tm 0.162 0.324 0.321
Tm 0.162 0.324 0.179
Tm 0.171 0.342 0.901
Tm 0.500 0.000 0.000
Tm 0.829 0.658 0.401
Tm 0.838 0.676 0.821
Tm 0.171 0.342 0.599
Tm 0.505 0.010 0.750
Tm 0.829 0.658 0.099
Tm 0.500 0.000 0.500
Tm 0.495 0.990 0.250
Ac 0.171 0.342 0.750
Ac 0.829 0.658 0.250

Formation energy from the elements: 0.14 eV/atom
Mass density: 8.90 g/cm3
V: 32.08 Å³/atom
Final energy: -0.3197 Ry per atom



3.
First-principles (PBE) data for crystalline AcDyTm2 at its relaxed geometry, as listed in Alexandria via LeMat-Bulk.

Cell lengths 3.600, 5.480, 14.054 Å; angles 89.99, 97.29, 90.00 degrees
Fractional positions:
Dy 0.311 0.678 0.334
Dy 0.771 0.178 0.252
Tm 0.928 0.678 0.567
Tm 0.154 0.178 0.018
Tm 0.378 0.178 0.468
Tm 0.704 0.678 0.117
Ac 0.499 0.178 0.709
Ac 0.583 0.678 0.877

Formation energy from the elements: 0.10 eV/atom
Mass density: 8.78 g/cm3
V: 34.38 Å³/atom
Relative energy among the computed polymorphs: 28 meV/atom
Final energy: -0.3171 Ry per atom



4.
First-principles (PBE) data for crystalline AcDyTm2 at its relaxed geometry, as listed in Alexandria via LeMat-Bulk.

Cell lengths 5.778, 5.778, 5.778 Å; angles 60.00, 60.00, 60.00 degrees
Fractional positions:
Tm 0.750 0.750 0.750
Tm 0.250 0.250 0.250
Ac 0.500 0.500 0.500
Dy 0.000 0.000 0.000

Formation energy from the elements: 0.12 eV/atom
Mass density: 8.85 g/cm3
V: 34.10 Å³/atom
Relative energy among the computed polymorphs: 46 meV/atom
Final energy: -0.3157 Ry per atom



- Number 2 is which compound?
  AcDy4Tm6